Sr6TlSn2 after structural relaxation, computed with PBE-GGA.

Geometry as CIF:
```
data_Sr6TlSn2
_chemical_formula_sum 'Sr12 Tl2 Sn4'
_symmetry_space_group_name_H-M 'P 1 21/c 1'
_symmetry_Int_Tables_number 14
_cell_length_a 7.811
_cell_length_b 8.921
_cell_length_c 12.832
_cell_angle_alpha 90.00
_cell_angle_beta 121.71
_cell_angle_gamma 90.00
loop_
_symmetry_equiv_pos_as_xyz
'x,y,z'
'-x,-y,-z'
'-x,y+1/2,-z+1/2'
'x,-y+1/2,z+1/2'
loop_
_atom_site_label
_atom_site_type_symbol
_atom_site_fract_x
_atom_site_fract_y
_atom_site_fract_z
Sr1 Sr 0.071 0.043 0.233
Sr2 Sr 0.202 0.681 0.069
Sr3 Sr 0.389 0.162 0.066
Tl1 Tl 0.500 0.000 0.500
Sn1 Sn 0.315 0.130 0.762
```

Output
Energy relative to the elements in eV/f.u.: -3.349
Density in g cm⁻³: 4.2
N(E_F) in states/eV/atom: 0.74


Sr2Tl2Sn after structural relaxation, computed with PBE-GGA.

Geometry as CIF:
```
data_Sr2Tl2Sn
_chemical_formula_sum 'Sr4 Tl4 Sn2'
_symmetry_space_group_name_H-M 'I 4/m m m'
_symmetry_Int_Tables_number 139
_symmetry_space_group_name_Hall '-I 4 2'
_cell_length_a 4.268
_cell_length_b 4.268
_cell_length_c 20.236
_cell_angle_alpha 90.00
_cell_angle_beta 90.00
_cell_angle_gamma 90.00
loop_
_atom_site_label
_atom_site_type_symbol
_atom_site_fract_x
_atom_site_fract_y
_atom_site_fract_z
Sr1 Sr 0.000 0.000 0.095
Tl1 Tl 0.000 0.500 0.250
Sn1 Sn 0.000 0.000 0.500
```

Output
Energy relative to the elements in eV/f.u.: -1.297
Density in g cm⁻³: 6.3
Energy above the lowest structure with this stoichiometry in meV/atom: 168.0
N(E_F) in states/eV/atom: 0.72


SrTlSn after structural relaxation, computed with PBE-GGA.

Geometry as CIF:
```
data_SrTlSn
_chemical_formula_sum 'Sr4 Tl4 Sn4'
_symmetry_space_group_name_H-M 'P n m a'
_symmetry_Int_Tables_number 62
_cell_length_a 11.576
_cell_length_b 4.410
_cell_length_c 8.163
_cell_angle_alpha 90.00
_cell_angle_beta 90.00
_cell_angle_gamma 90.00
loop_
_symmetry_equiv_pos_as_xyz
'x,y,z'
'-x,-y,-z'
'-x+1/2,-y,z+1/2'
'x+1/2,y,-z+1/2'
'x+1/2,-y+1/2,-z+1/2'
'-x+1/2,y+1/2,z+1/2'
'-x,y+1/2,-z'
'x,-y+1/2,z'
loop_
_atom_site_label
_atom_site_type_symbol
_atom_site_fract_x
_atom_site_fract_y
_atom_site_fract_z
Sr1 Sr 0.244 0.250 0.116
Tl1 Tl 0.025 0.750 0.332
Sn1 Sn 0.071 0.750 0.924
```

Output
Energy relative to the elements in eV/f.u.: -1.084
Density in g cm⁻³: 6.5
N(E_F) in states/eV/atom: 0.62


Sr4TlSn12 after structural relaxation, computed with PBE-GGA.

Geometry as CIF:
```
data_Sr4TlSn12
_chemical_formula_sum 'Sr8 Tl2 Sn24'
_symmetry_space_group_name_H-M 'I m -3 m'
_symmetry_Int_Tables_number 229
_symmetry_space_group_name_Hall '-I 4 2 3'
_cell_length_a 10.114
_cell_length_b 10.114
_cell_length_c 10.114
_cell_angle_alpha 90.00
_cell_angle_beta 90.00
_cell_angle_gamma 90.00
loop_
_atom_site_label
_atom_site_type_symbol
_atom_site_fract_x
_atom_site_fract_y
_atom_site_fract_z
Sr1 Sr 0.250 0.250 0.250
Tl1 Tl 0.000 0.000 0.000
Sn1 Sn 0.000 0.000 0.313
Sn2 Sn 0.000 0.250 0.500
```

Output
Energy relative to the elements in eV/f.u.: -5.705
Density in g cm⁻³: 6.4
N(E_F) in states/eV/atom: 0.51


SrTl2Sn2 after structural relaxation, computed with PBE-GGA.

Geometry as CIF:
```
data_SrTl2Sn2
_chemical_formula_sum 'Sr2 Tl4 Sn4'
_symmetry_space_group_name_H-M 'P 4/m b m'
_symmetry_Int_Tables_number 127
_symmetry_space_group_name_Hall '-P 4 2ab'
_cell_length_a 8.930
_cell_length_b 8.930
_cell_length_c 3.881
_cell_angle_alpha 90.00
_cell_angle_beta 90.00
_cell_angle_gamma 90.00
loop_
_atom_site_label
_atom_site_type_symbol
_atom_site_fract_x
_atom_site_fract_y
_atom_site_fract_z
Sr1 Sr 0.000 0.000 0.000
Tl1 Tl 0.130 0.370 0.000
Sn1 Sn 0.166 0.666 0.500
```

Output
Energy relative to the elements in eV/f.u.: -0.783
Density in g cm⁻³: 7.9
Energy above the lowest structure with this stoichiometry in meV/atom: 36.9
N(E_F) in states/eV/atom: 0.60


SrTlSn2 after structural relaxation, computed with PBE-GGA.

Geometry as CIF:
```
data_SrTlSn2
_chemical_formula_sum 'Sr4 Tl4 Sn8'
_symmetry_space_group_name_H-M 'P n m a'
_symmetry_Int_Tables_number 62
_cell_length_a 8.010
_cell_length_b 6.959
_cell_length_c 8.988
_cell_angle_alpha 90.00
_cell_angle_beta 90.00
_cell_angle_gamma 90.00
loop_
_symmetry_equiv_pos_as_xyz
'x,y,z'
'-x,-y,-z'
'-x+1/2,-y,z+1/2'
'x+1/2,y,-z+1/2'
'x+1/2,-y+1/2,-z+1/2'
'-x+1/2,y+1/2,z+1/2'
'-x,y+1/2,-z'
'x,-y+1/2,z'
loop_
_atom_site_label
_atom_site_type_symbol
_atom_site_fract_x
_atom_site_fract_y
_atom_site_fract_z
Sr1 Sr 0.006 0.250 0.189
Tl1 Tl 0.055 0.250 0.803
Sn1 Sn 0.183 0.029 0.514
```

Output
Energy relative to the elements in eV/f.u.: -1.395
Density in g cm⁻³: 7.0
Energy above the lowest structure with this stoichiometry in meV/atom: 0.0
N(E_F) in states/eV/atom: 0.47


SrTl4Sn2 after structural relaxation, computed with PBE-GGA.

Geometry as CIF:
```
data_SrTl4Sn2
_chemical_formula_sum 'Sr2 Tl8 Sn4'
_symmetry_space_group_name_H-M 'C m m m'
_symmetry_Int_Tables_number 65
_symmetry_space_group_name_Hall '-C 2 2'
_cell_length_a 4.690
_cell_length_b 20.461
_cell_length_c 4.825
_cell_angle_alpha 90.00
_cell_angle_beta 90.00
_cell_angle_gamma 90.00
loop_
_atom_site_label
_atom_site_type_symbol
_atom_site_fract_x
_atom_site_fract_y
_atom_site_fract_z
Sr1 Sr 0.000 0.000 0.000
Tl1 Tl 0.000 0.180 0.500
Tl2 Tl 0.000 0.323 0.000
Sn1 Sn 0.000 0.430 0.500
```

Output
Energy relative to the elements in eV/f.u.: -1.047
Density in g cm⁻³: 8.2
N(E_F) in states/eV/atom: 0.52


SrTlSn after structural relaxation, computed with PBE-GGA.

Geometry as CIF:
```
data_SrTlSn
_chemical_formula_sum 'Sr2 Tl2 Sn2'
_symmetry_space_group_name_H-M 'I 4 m m'
_symmetry_Int_Tables_number 107
_symmetry_space_group_name_Hall 'I 4 -2'
_cell_length_a 4.044
_cell_length_b 4.044
_cell_length_c 11.754
_cell_angle_alpha 90.00
_cell_angle_beta 90.00
_cell_angle_gamma 90.00
loop_
_atom_site_label
_atom_site_type_symbol
_atom_site_fract_x
_atom_site_fract_y
_atom_site_fract_z
Sr1 Sr 0.000 0.000 0.000
Tl1 Tl 0.000 0.000 0.687
Sn1 Sn 0.000 0.000 0.314
```

Output
Energy relative to the elements in eV/f.u.: -0.995
Density in g cm⁻³: 7.1
N(E_F) in states/eV/atom: 0.34


> What is the formula in the fifth record?

SrTl2Sn2


> Which formula does entry 2 have?

Sr2Tl2Sn